No. 1
Entry from Alexandria: a relaxed structure of AcPu2Sb (PBE-GGA).

Unit cell a=4.8280 b=4.8280 c=5.0929 alpha=90.00 beta=90.00 gamma=90.00
With the nearest neighbours (Å) after each atom.
Element x y z (fractional)
Ac 0.0000 0.0000 0.0000  4 Sb 3.41, 8 Pu 3.51
Pu 0.0000 0.5000 0.5000  4 Pu 3.41, 4 Ac 3.51, 4 Sb 3.51
Pu 0.5000 0.0000 0.5000  4 Pu 3.41, 4 Ac 3.51, 4 Sb 3.51
Sb 0.5000 0.5000 0.0000  4 Ac 3.41, 8 Pu 3.51

* SG: No. 123
* raw formation energy: -30 kJ/mol of atoms
* calculated total energy: -38.120 eV per formula unit

***

No. 2
Entry from Alexandria: a relaxed structure of AcPuSb2 (PBE-GGA).

Unit cell a=4.1308 b=4.1308 c=7.0804 alpha=90.00 beta=90.00 gamma=90.00
With the nearest neighbours (Å) after each atom.
Element x y z (fractional)
Ac 0.0000 0.0000 0.0000  8 Sb 3.50, 2 Pu 3.54
Pu 0.0000 0.0000 0.5000  8 Sb 3.33, 2 Ac 3.54
Sb 0.5000 0.5000 0.2731  1 Sb 3.21, 4 Pu 3.33, 4 Ac 3.50
Sb 0.5000 0.5000 0.7269  1 Sb 3.21, 4 Pu 3.33, 4 Ac 3.50

* SG: No. 123
* raw formation energy: -71 kJ/mol of atoms
* calculated total energy: -29.623 eV per formula unit

***

No. 3
Entry from Alexandria: a relaxed structure of AcPuSb (PBE-GGA).

Unit cell a=12.8861 b=12.8861 c=12.8861 alpha=20.37 beta=20.37 gamma=20.37
With the nearest neighbours (Å) after each atom.
Element x y z (fractional)
Ac 0.1227 0.1227 0.1227  3 Sb 3.38
Ac 0.8773 0.8773 0.8773  3 Sb 3.38
Pu 0.3088 0.3088 0.3088  3 Sb 3.08, 3 Pu 3.22
Pu 0.6912 0.6912 0.6912  3 Sb 3.08, 3 Pu 3.22
Sb 0.3999 0.3999 0.3999  3 Pu 3.08, 3 Ac 3.38
Sb 0.6001 0.6001 0.6001  3 Pu 3.08, 3 Ac 3.38

* SG: No. 166
* raw formation energy: -34 kJ/mol of atoms
* calculated total energy: -23.631 eV per formula unit

***

No. 4
Entry from Alexandria: a relaxed structure of Ac3PuSb4 (PBE-GGA).

Unit cell a=8.1683 b=8.1683 c=4.7242 alpha=90.00 beta=90.00 gamma=109.49
With the nearest neighbours (Å) after each atom.
Element x y z (fractional)
Ac 0.0000 0.0000 0.0000  6 Sb 3.43-3.44
Ac 0.0000 0.5000 0.5000  6 Sb 3.34
Ac 0.5000 0.0000 0.5000  6 Sb 3.34
Pu 0.5000 0.5000 0.0000  6 Sb 3.24
Sb 0.2571 0.7429 0.0000  1 Pu 3.24, 5 Ac 3.34-3.43
Sb 0.2645 0.2645 0.5000  2 Pu 3.24, 4 Ac 3.34-3.44
Sb 0.7355 0.7355 0.5000  2 Pu 3.24, 4 Ac 3.34-3.44
Sb 0.7429 0.2571 0.0000  1 Pu 3.24, 5 Ac 3.34-3.43

* SG: No. 65
* raw formation energy: -99 kJ/mol of atoms
* calculated total energy: -51.345 eV per formula unit

***

No. 5
Entry from Alexandria: a relaxed structure of AcPuSb2 (PBE-GGA).

Unit cell a=8.2304 b=8.2304 c=8.2304 alpha=32.21 beta=32.21 gamma=32.21
With the nearest neighbours (Å) after each atom.
Element x y z (fractional)
Ac 0.0000 0.0000 0.0000  6 Sb 3.36-3.43
Pu 0.8292 0.8292 0.8292  6 Sb 3.15-3.19
Sb 0.2394 0.2394 0.2394  3 Pu 3.19, 3 Ac 3.43
Sb 0.4225 0.4225 0.4225  3 Pu 3.15, 3 Ac 3.36

* SG: No. 160
* raw formation energy: -76 kJ/mol of atoms
* calculated total energy: -29.836 eV per formula unit

***

No. 6
Entry from Alexandria: a relaxed structure of Ac2PuSb3 (PBE-GGA).

Unit cell a=8.1014 b=8.1014 c=8.1014 alpha=146.31 beta=131.57 gamma=60.30
With the nearest neighbours (Å) after each atom.
Element x y z (fractional)
Ac 0.1691 0.1691 0.0000  6 Sb 3.33-3.41
Ac 0.8309 0.8309 0.0000  6 Sb 3.33-3.41
Pu 0.5000 0.5000 0.0000  6 Sb 3.19-3.32
Sb 0.0000 0.5000 0.5000  2 Pu 3.32, 4 Ac 3.34
Sb 0.3458 0.8458 0.5000  2 Pu 3.19, 4 Ac 3.33-3.41
Sb 0.6542 0.1542 0.5000  2 Pu 3.19, 4 Ac 3.33-3.41

* SG: No. 71
* raw formation energy: -93 kJ/mol of atoms
* calculated total energy: -40.712 eV per formula unit